No. 1
# LiPmMgNi

A relaxed LiPmMgNi crystal (GGA-PBE, the Alexandria database).

Geometry as POSCAR:
```
LiPmMgNi
1.0
4.788 0.000 0.000
2.394 4.147 0.000
2.394 1.382 3.910
Ni Mg Li Pm
1 1 1 1
direct
0.000 0.000 0.000
0.250 0.250 0.250
0.500 0.500 0.500
0.750 0.750 0.750
```

Computed properties:
crystal system	cubic
symmetry	F-43m (216)
spin magnetization	0.00	μB/cell

No. 2
# LiPrMgNi

A relaxed LiPrMgNi crystal (GGA-PBE, the Alexandria database).

Geometry as POSCAR:
```
LiPrMgNi
1.0
4.834 0.000 0.000
2.417 4.186 0.000
2.417 1.395 3.947
Pr Ni Mg Li
1 1 1 1
direct
0.750 0.750 0.750
0.000 0.000 0.000
0.250 0.250 0.250
0.500 0.500 0.500
```

Computed properties:
crystal system	cubic
symmetry	F-43m (216)
spin magnetization	0.00	μB/cell

no.,calculated formation energy (eV per atom),electronic total energy (eV for the cell shown)
1,-0.11,-14.49
2,-0.09,-14.45